1.
Computed, not measured: AcLa4Ag5 after structural relaxation at the GGA-PBE level of DFT.

## Properties
volume: 286 Å³ per cell
size of the total moment: 0.000 μB per atom
E: -4.064 eV per atom
SG: P4/mmm, No. 123

a b c (Å): 3.834 3.834 19.461
angles (deg): 90.00 90.00 90.00
Positions (direct):
Ag: 0.500 0.500 0.303
Ac: 0.000 0.000 0.000
La: 0.000 0.000 0.401
La: 0.000 0.000 0.599
La: 0.000 0.000 0.204
La: 0.000 0.000 0.796
Ag: 0.500 0.500 0.893
Ag: 0.500 0.500 0.697
Ag: 0.500 0.500 0.107
Ag: 0.500 0.500 0.500

2.
Computed, not measured: TcNiHRu2 after structural relaxation at the GGA-PBE level of DFT.

## Properties
volume: 56 Å³ per cell
size of the total moment: 0.000 μB per atom
E: -7.465 eV per atom
SG: P4/mmm, No. 123

a b c (Å): 3.879 3.879 3.713
angles (deg): 90.00 90.00 90.00
Positions (direct):
Ni: 0.000 0.000 0.500
H: 0.000 0.000 0.000
Ru: 0.500 0.000 0.000
Tc: 0.500 0.500 0.500
Ru: 0.000 0.500 0.000

3.
Computed, not measured: Cd2CuSnI after structural relaxation at the GGA-PBE level of DFT.

## Properties
volume: 157 Å³ per cell
size of the total moment: 0.000 μB per atom
raw formation energy: 177.3 meV per atom
E: -2.119 eV per atom
SG: P4/mmm, No. 123

a b c (Å): 5.631 4.947 5.631
angles (deg): 90.00 90.00 90.00
Positions (direct):
Cd: 0.500 0.000 0.000
Cd: 0.000 0.000 0.500
Sn: 0.000 0.000 0.000
Cu: 0.000 0.500 0.000
I: 0.500 0.500 0.500

4.
Computed, not measured: Tm2HfTiN4 after structural relaxation at the GGA-PBE level of DFT.

## Properties
volume: 97 Å³ per cell
size of the total moment: 0.000 μB per atom
raw formation energy: -1768.0 meV per atom
E: -9.280 eV per atom
SG: P2/m, No. 10

a b c (Å): 3.242 5.596 5.661
angles (deg): 109.29 90.00 90.00
Positions (direct):
Tm: 0.000 0.500 0.500
N: 0.000 0.746 0.230
Hf: 0.500 0.500 0.000
N: 0.000 0.254 0.770
N: 0.500 0.759 0.771
N: 0.500 0.241 0.229
Ti: 0.000 0.000 0.000
Tm: 0.500 0.000 0.500